No. 1
Material: MgBeCo2
Method: DFT, GGA-PBEsol
State: optimized geometry

Summary:
As for the energy relative to the elements: 0.5161 eV/atom. The distance to the lowest polymorph of the same formula is 7.173 kcal/mol of atoms. For the magnetic moment, the calculation gives 2.30 μB/f.u. The density of states at the Fermi level is 0.663 states/eV per atom.

Lattice parameters (Å, degrees): 3.595 3.595 16.118 90.00 90.00 90.00
Space group I-42d (No. 122)
Asymmetric unit:
Mg  0.000  0.000  0.000
Be  0.000  0.000  0.500
Co  0.163  0.250  0.625

No. 2
Material: ZrCo2ReS
Method: DFT, GGA-PBEsol
State: optimized geometry

Summary:
For the magnetic moment, the calculation gives 0.79 μB/f.u. The density of states at the Fermi level is 1.646 states/eV per atom. The total energy comes out at -36.336 eV/f.u.

Lattice parameters (Å, degrees): 4.310 4.310 5.134 90.00 90.00 90.00
Space group P4/mmm (No. 123)
Asymmetric unit:
Zr  0.000  0.000  0.000
Co  0.000  0.500  0.500
Re  0.000  0.000  0.500
S  0.500  0.500  0.000

No. 3
Material: Sc2CoHg
Method: DFT, GGA-PBEsol
State: optimized geometry

Summary:
As for the energy relative to the elements: -0.2324 eV/atom. For the magnetic moment, the calculation gives 0.00 μB/f.u. The density of states at the Fermi level is 0.508 states/eV per atom.

Lattice parameters (Å, degrees): 3.4700 3.4700 22.2697 90.00 90.00 120.00
Space group R-3m (No. 166, hexagonal axes)
Asymmetric unit:
Sc  0.0000  0.0000  0.2322
Co  0.0000  0.0000  0.5000
Hg  0.0000  0.0000  0.0000

No. 4
Material: Hf3BeRu
Method: DFT, GGA-PBEsol
State: optimized geometry

Summary:
As for the energy relative to the elements: 0.5557 eV/atom. For the magnetic moment, the calculation gives 0.00 μB/f.u. The density of states at the Fermi level is 1.070 states/eV per atom.

Lattice parameters (Å, degrees): 4.503 4.503 4.503 90.00 90.00 90.00
Space group Pm-3m (No. 221)
Asymmetric unit:
Hf  0.000  0.000  0.500
Be  0.000  0.000  0.000
Ru  0.500  0.500  0.500

No. 5
Material: ReNi4W
Method: DFT, GGA-PBEsol
State: optimized geometry

Summary:
As for the energy relative to the elements: -0.0402 eV/atom. For the magnetic moment, the calculation gives 0.70 μB/f.u. The density of states at the Fermi level is 1.064 states/eV per atom.

Lattice parameters (Å, degrees): 6.533 6.533 6.533 90.00 90.00 90.00
Space group F-43m (No. 216)
Asymmetric unit:
Re  0.000  0.000  0.000
Ni  0.125  0.125  0.625
W  0.250  0.250  0.250

No. 6
Material: MgGe2Cl
Method: DFT, GGA-PBEsol
State: optimized geometry

Summary:
For the magnetic moment, the calculation gives 0.00 μB/f.u. The density of states at the Fermi level is 0.774 states/eV per atom. The total energy comes out at -12.812 eV/f.u.

Lattice parameters (Å, degrees): 6.824 6.824 6.824 90.00 90.00 90.00
Space group Fm-3m (No. 225)
Asymmetric unit:
Mg  0.000  0.000  0.000
Ge  0.250  0.250  0.250
Cl  0.000  0.000  0.500

No. 7
Material: ZrSc3Ta
Method: DFT, GGA-PBEsol
State: optimized geometry

Summary:
As for the energy relative to the elements: 1.2428 eV/atom. For the magnetic moment, the calculation gives 0.00 μB/f.u. The density of states at the Fermi level is 1.544 states/eV per atom.

Lattice parameters (Å, degrees): 4.867 4.867 4.867 90.00 90.00 90.00
Space group Pm-3m (No. 221)
Asymmetric unit:
Zr  0.000  0.000  0.000
Sc  0.000  0.000  0.500
Ta  0.500  0.500  0.500

No. 8
Material: MgTi2S4
Method: DFT, GGA-PBEsol
State: optimized geometry

Summary:
For the magnetic moment, the calculation gives 0.00 μB/f.u. The density of states at the Fermi level is 0.591 states/eV per atom. The total energy comes out at -45.716 eV/f.u.

Lattice parameters (Å, degrees): 7.021 7.035 9.812 90.00 90.00 90.00
Space group Imma (No. 74)
Asymmetric unit:
Mg  0.000  0.000  0.000
Ti  0.000  0.000  0.500
Ti  0.250  0.250  0.250
S  0.000  0.006  0.253
S  0.244  0.250  0.502

No. 9
Material: CaCr2Mo
Method: DFT, GGA-PBEsol
State: optimized geometry

Summary:
As for the energy relative to the elements: 0.6818 eV/atom. The distance to the lowest polymorph of the same formula is 1.184 kcal/mol of atoms. For the magnetic moment, the calculation gives 0.00 μB/f.u. The density of states at the Fermi level is 0.934 states/eV per atom.

Lattice parameters (Å, degrees): 3.102 4.401 8.944 90.00 90.00 90.00
Space group Cmm2 (No. 35)
Asymmetric unit:
Ca  0.000  0.000  0.000
Cr  0.000  0.000  0.526
Cr  0.000  0.500  0.714
Mo  0.000  0.500  0.301

No. 10
Material: ZnAsSe2Br
Method: DFT, GGA-PBEsol
State: optimized geometry

Summary:
For the magnetic moment, the calculation gives 0.00 μB/f.u. The density of states at the Fermi level is 1.024 states/eV per atom. The total energy comes out at -13.582 eV/f.u.

Lattice parameters (Å, degrees): 4.715 4.715 5.172 90.00 90.00 90.00
Space group P4/mmm (No. 123)
Asymmetric unit:
Zn  0.000  0.000  0.000
As  0.000  0.000  0.500
Se  0.000  0.500  0.000
Br  0.500  0.500  0.500

No. 11
Material: BaZn3Rh
Method: DFT, GGA-PBEsol
State: optimized geometry

Summary:
As for the energy relative to the elements: -0.2745 eV/atom. The distance to the lowest polymorph of the same formula is 0.553 kcal/mol of atoms. For the magnetic moment, the calculation gives 0.00 μB/f.u. The density of states at the Fermi level is 0.443 states/eV per atom.

Lattice parameters (Å, degrees): 4.823 4.823 4.823 90.00 90.00 90.00
Space group Pm-3m (No. 221)
Asymmetric unit:
Ba  0.000  0.000  0.000
Zn  0.000  0.500  0.500
Rh  0.500  0.500  0.500

No. 12
Material: CsMo3S3
Method: DFT, GGA-PBEsol
State: optimized geometry

Summary:
For the magnetic moment, the calculation gives 0.00 μB/f.u. The density of states at the Fermi level is 0.075 states/eV per atom. The total energy comes out at -55.565 eV/f.u.

Lattice parameters (Å, degrees): 9.2070 9.2070 4.4000 90.00 90.00 120.00
Space group P6_3/m (No. 176)
Asymmetric unit:
Cs  0.3333  0.6667  0.2500
Mo  0.0254  0.1771  0.2500
S  0.0492  0.3305  0.7500

No. 13
Material: Li2MgTl
Method: DFT, GGA-PBEsol
State: optimized geometry

Summary:
As for the energy relative to the elements: -0.1677 eV/atom. For the magnetic moment, the calculation gives 0.00 μB/f.u. The density of states at the Fermi level is 0.357 states/eV per atom.

Lattice parameters (Å, degrees): 3.498 3.498 6.514 90.00 90.00 90.00
Space group P4mm (No. 99)
Asymmetric unit:
Li  0.000  0.000  0.000
Li  0.500  0.500  0.235
Mg  0.000  0.000  0.488
Tl  0.500  0.500  0.771